# KTiBi2O6

A relaxed KTiBi2O6 crystal (PBE, the Alexandria database).

a b c (Å): 6.9100 8.2213 8.2213
angles (deg): 101.46 74.88 74.88
Closest atoms and distances in Å follow each position.
Atoms (fractional coordinates):
O 0.5010 0.8260 0.3374  1 Ti 1.82
O 0.7105 0.7796 0.9673  1 Ti 1.85
Bi 0.1562 0.4461 0.2698  4 O 2.17-2.23
Bi 0.6562 0.2698 0.4461  4 O 2.17-2.23
K 0.7500 0.1006 0.8994  6 O 2.87-2.97
Ti 0.2500 0.1834 0.8166  4 O 1.82-1.85
O 0.5418 0.5772 0.6727  2 Bi 2.17-2.23
K 0.2500 0.8994 0.1006  6 O 2.87-2.97
O 0.4582 0.4228 0.3273  2 Bi 2.17-2.23
Ti 0.7500 0.8166 0.1834  4 O 1.82-1.85
O 0.2895 0.2204 0.0327  1 Ti 1.85
Bi 0.3438 0.7302 0.5539  4 O 2.17-2.23
O 0.2105 0.9673 0.7796  1 Ti 1.85
O 0.4990 0.1740 0.6626  1 Ti 1.82
O 0.7895 0.0327 0.2204  1 Ti 1.85
Bi 0.8438 0.5539 0.7302  4 O 2.17-2.23
O 0.9582 0.3273 0.4228  2 Bi 2.17-2.23
O 0.9990 0.6626 0.1740  1 Ti 1.82
O 0.0418 0.6727 0.5772  2 Bi 2.17-2.23
O 0.0010 0.3374 0.8260  1 Ti 1.82

**M_tot**: 0.0 μB/cell
**Crystal system**: monoclinic
**Formation energy without anion corrections**: -1730 meV/atom